Entry 1:
## LiHgOs (SCAN)

Data for LiHgOs at its PBEsol-relaxed geometry.

Unit cell a=6.1892 b=6.1892 c=6.1892 alpha=90.00 beta=90.00 gamma=90.00
Space group F-43m (No. 216)
One atom of each set of equivalent atoms:
Li: 0.0000 0.0000 0.0000 [4 per cell]
Hg: 0.0000 0.0000 0.5000 [4 per cell]
Os: 0.2500 0.2500 0.2500 [4 per cell]

Properties
- calculated total energy (eV/atom) = -46.377
- total magnetization (μB per formula unit) = 2.2
- DFT formation energy (eV per formula unit) = 3.306

***

Entry 2:
## ZnGa3W (SCAN)

Data for ZnGa3W at its PBEsol-relaxed geometry.

Unit cell a=4.8769 b=4.8769 c=4.8769 alpha=90.00 beta=90.00 gamma=90.00
Space group Pm-3m (No. 221)
One atom of each set of equivalent atoms:
Zn: 0.0000 0.0000 0.0000 [1 per cell]
Ga: 0.0000 0.5000 0.5000 [3 per cell]
W: 0.5000 0.5000 0.5000 [1 per cell]

Properties
- calculated total energy (eV/atom) = -25.689
- total magnetization (μB per formula unit) = 1.1
- DFT formation energy (eV per formula unit) = 3.796

***

Entry 3:
## Li2CuP2O7 (SCAN)

Data for Li2CuP2O7 at its PBEsol-relaxed geometry.

Unit cell a=5.5230 b=6.0675 c=8.6300 alpha=108.21 beta=94.92 gamma=104.39
Space group P-1 (No. 2)
One atom of each set of equivalent atoms:
Li: 0.1483 0.2535 0.4688 [2 per cell]
Li: 0.2800 0.6976 0.2706 [2 per cell]
Cu: 0.1112 0.1074 0.8771 [2 per cell]
P: 0.2474 0.6498 0.9114 [2 per cell]
P: 0.3811 0.8045 0.6260 [2 per cell]
O: 0.0603 0.8104 0.9275 [2 per cell]
O: 0.0810 0.3854 0.8254 [2 per cell]
O: 0.1852 0.9502 0.6615 [2 per cell]
O: 0.2698 0.5850 0.4685 [2 per cell]
O: 0.3518 0.0494 0.3708 [2 per cell]
O: 0.4176 0.7096 0.7812 [2 per cell]
O: 0.4226 0.7064 0.0699 [2 per cell]

Properties
- calculated total energy (eV/atom) = -9.280
- total magnetization (μB per formula unit) = 0.9
- formation energy from raw total energies (eV/atom) = -2.247
- polymorph energy (0 for the lowest one) (meV per atom) = 45

***

Entry 4:
## Ti2AlZn (SCAN)

Data for Ti2AlZn at its PBEsol-relaxed geometry.

Unit cell a=7.1442 b=7.1442 c=5.1121 alpha=90.00 beta=90.00 gamma=90.00
Space group I-42d (No. 122)
One atom of each set of equivalent atoms:
Ti: 0.2410 0.7500 0.1250 [8 per cell]
Al: 0.0000 0.0000 0.5000 [4 per cell]
Zn: 0.0000 0.0000 0.0000 [4 per cell]

Properties
- calculated total energy (eV/atom) = -13.234
- total magnetization (μB per formula unit) = 0.0
- DFT formation energy (eV per formula unit) = 0.390

***

Entry 5:
## YTlCd2 (SCAN)

Data for YTlCd2 at its PBEsol-relaxed geometry.

Unit cell a=3.4292 b=3.4292 c=30.1659 alpha=90.00 beta=90.00 gamma=120.00
Space group R-3m (No. 166, hexagonal axes)
One atom of each set of equivalent atoms:
Y: 0.0000 0.0000 0.0000 [3 per cell]
Tl: 0.0000 0.0000 0.5000 [3 per cell]
Cd: 0.0000 0.0000 0.2496 [6 per cell]

Properties
- calculated total energy (eV/atom) = -40.315
- total magnetization (μB per formula unit) = 0.0
- DFT formation energy (eV per formula unit) = -0.231
- polymorph energy (0 for the lowest one) (meV per atom) = 327

***

Entry 6:
## CaTl2Ag (SCAN)

Data for CaTl2Ag at its PBEsol-relaxed geometry.

Unit cell a=10.8697 b=3.9146 c=5.3318 alpha=90.00 beta=119.23 gamma=90.00
Space group C2/m (No. 12)
One atom of each set of equivalent atoms:
Ca: 0.0000 0.0000 0.0000 [2 per cell]
Tl: 0.2258 0.0000 0.7256 [4 per cell]
Ag: 0.0000 0.5000 0.5000 [2 per cell]

Properties
- calculated total energy (eV/atom) = -46.665
- total magnetization (μB per formula unit) = 0.0
- DFT formation energy (eV per formula unit) = -0.913

***

Entry 7:
## HfAgBr3 (SCAN)

Data for HfAgBr3 at its PBEsol-relaxed geometry.

Unit cell a=5.1632 b=5.1632 c=5.1632 alpha=90.00 beta=90.00 gamma=90.00
Space group Pm-3m (No. 221)
One atom of each set of equivalent atoms:
Hf: 0.0000 0.0000 0.0000 [1 per cell]
Ag: 0.5000 0.5000 0.5000 [1 per cell]
Br: 0.0000 0.0000 0.5000 [3 per cell]

Properties
- calculated total energy (eV/atom) = -30.901
- total magnetization (μB per formula unit) = 0.0
- formation energy from raw total energies (eV/atom) = -0.417

***

Entry 8:
## Sc3Tc (SCAN)

Data for Sc3Tc at its PBEsol-relaxed geometry.

Unit cell a=3.1713 b=3.1713 c=28.2061 alpha=90.00 beta=90.00 gamma=120.00
Space group R-3m (No. 166, hexagonal axes)
One atom of each set of equivalent atoms:
Sc: 0.0000 0.0000 0.0000 [3 per cell]
Sc: 0.0000 0.0000 0.2346 [6 per cell]
Tc: 0.0000 0.0000 0.5000 [3 per cell]

Properties
- calculated total energy (eV/atom) = -19.421
- total magnetization (μB per formula unit) = 1.4
- DFT formation energy (eV per formula unit) = 0.086

***

Entry 9:
## TcH4NO4 (SCAN)

Data for TcH4NO4 at its PBEsol-relaxed geometry.

Unit cell a=6.1671 b=6.1671 c=11.6867 alpha=90.00 beta=90.00 gamma=90.00
Space group I4_1/a (No. 88, origin choice 2)
One atom of each set of equivalent atoms:
Tc: 0.0000 0.2500 0.1250 [4 per cell]
H: 0.0431 0.3801 0.6776 [16 per cell]
N: 0.0000 0.2500 0.6250 [4 per cell]
O: 0.1168 0.0551 0.2092 [16 per cell]

Properties
- calculated total energy (eV/atom) = -9.398
- total magnetization (μB per formula unit) = 0.0

***

Entry 10:
## KNaP2H2O7 (SCAN)

Data for KNaP2H2O7 at its PBEsol-relaxed geometry.

Unit cell a=7.9090 b=7.9370 c=11.2122 alpha=106.44 beta=95.69 gamma=90.20
Space group P-1 (No. 2)
One atom of each set of equivalent atoms:
K: 0.1674 0.2382 0.4354 [2 per cell]
K: 0.2768 0.3491 0.0653 [2 per cell]
Na: 0.1703 0.8527 0.9230 [2 per cell]
Na: 0.3746 0.7874 0.4259 [2 per cell]
P: 0.0074 0.5275 0.2921 [2 per cell]
P: 0.0490 0.8412 0.2076 [2 per cell]
P: 0.2862 0.0708 0.7101 [2 per cell]
P: 0.3555 0.4498 0.7870 [2 per cell]
H: 0.3067 0.9940 0.1619 [2 per cell]
H: 0.4501 0.7874 0.6664 [2 per cell]
H: 0.4792 0.0367 0.1213 [2 per cell]
H: 0.4914 0.4050 0.3694 [2 per cell]
O: 0.0139 0.1283 0.9145 [2 per cell]
O: 0.0298 0.6310 0.1874 [2 per cell]
O: 0.0332 0.3383 0.2282 [2 per cell]
O: 0.0805 0.0794 0.6875 [2 per cell]
O: 0.1061 0.6196 0.4138 [2 per cell]
O: 0.1926 0.4427 0.6853 [2 per cell]
O: 0.2221 0.9088 0.2703 [2 per cell]
O: 0.3301 0.9323 0.7746 [2 per cell]
O: 0.3367 0.2578 0.8123 [2 per cell]
O: 0.3376 0.5831 0.9085 [2 per cell]
O: 0.3512 0.0608 0.5878 [2 per cell]
O: 0.3556 0.0309 0.0941 [2 per cell]
O: 0.4895 0.5490 0.2798 [2 per cell]
O: 0.4922 0.2977 0.3990 [2 per cell]

Properties
- calculated total energy (eV/atom) = -8.609
- total magnetization (μB per formula unit) = 0.1

***

Entry 11:
## Si2AgSb (SCAN)

Data for Si2AgSb at its PBEsol-relaxed geometry.

Unit cell a=3.1377 b=3.7918 c=6.2881 alpha=90.00 beta=90.00 gamma=90.00
Space group Pmmm (No. 47)
One atom of each set of equivalent atoms:
Si: 0.0000 0.0000 0.2008 [2 per cell]
Ag: 0.5000 0.5000 0.0000 [1 per cell]
Sb: 0.5000 0.5000 0.5000 [1 per cell]

Properties
- calculated total energy (eV/atom) = -21.564
- total magnetization (μB per formula unit) = 0.0
- formation energy from raw total energies (eV/atom) = 0.601

***

Entry 12:
## Lu2MgIn (SCAN)

Data for Lu2MgIn at its PBEsol-relaxed geometry.

Unit cell a=7.2667 b=7.2667 c=7.2667 alpha=90.00 beta=90.00 gamma=90.00
Space group Fm-3m (No. 225)
One atom of each set of equivalent atoms:
Lu: 0.2500 0.2500 0.2500 [8 per cell]
Mg: 0.0000 0.0000 0.0000 [4 per cell]
In: 0.0000 0.0000 0.5000 [4 per cell]

Properties
- calculated total energy (eV/atom) = -37.606
- total magnetization (μB per formula unit) = 0.0
- DFT formation energy (eV per formula unit) = -1.373